No. 1
# LiAl2Ga8 PBE-GGA relaxed
data_LiAl2Ga8
_chemical_formula_sum 'Li2 Al4 Ga16'
_cell_length_a 11.0710
_cell_length_b 8.1664
_cell_length_c 4.7367
_cell_angle_alpha 90.00
_cell_angle_beta 97.08
_cell_angle_gamma 90.00
_space_group_name_H-M_alt 'C 1 2/m 1'
_space_group_IT_number 12
loop_
_space_group_symop_operation_xyz
'x,y,z'
'-x,-y,-z'
'-x,y,-z'
'x,-y,z'
'x+1/2,y+1/2,z'
'-x+1/2,-y+1/2,-z'
'-x+1/2,y+1/2,-z'
'x+1/2,-y+1/2,z'
loop_
_atom_site_label
_atom_site_type_symbol
_atom_site_fract_x
_atom_site_fract_y
_atom_site_fract_z
_atom_site_occupancy
Li1 Li 0.0000 0.0000 0.0000 1
Al1 Al 0.1275 0.0000 0.5514 1
Ga1 Ga 0.0753 0.2834 0.7982 1
Ga2 Ga 0.1171 0.5000 0.3411 1
Ga3 Ga 0.2432 0.0000 0.1025 1
# Fermi-level density of states (states/eV/f.u.): 2.566
# DFT formation energy (meV per atom): 19



No. 2
# K2GaI3 PBE-GGA relaxed
data_K2GaI3
_chemical_formula_sum 'K4 Ga2 I6'
_cell_length_a 4.9509
_cell_length_b 6.9990
_cell_length_c 14.8805
_cell_angle_alpha 90.00
_cell_angle_beta 90.00
_cell_angle_gamma 90.00
_space_group_name_H-M_alt 'I m m m'
_space_group_IT_number 71
_space_group_name_Hall '-I 2 2'
loop_
_atom_site_label
_atom_site_type_symbol
_atom_site_fract_x
_atom_site_fract_y
_atom_site_fract_z
_atom_site_occupancy
K1 K 0.0000 0.0000 0.1681 1
Ga1 Ga 0.0000 0.0000 0.5000 1
I1 I 0.0000 0.5000 0.1561 1
I2 I 0.0000 0.5000 0.5000 1
# Fermi-level density of states (states/eV/f.u.): 0.000
# Energy relative to the lowest polymorph listed for this composition (eV/atom): 0.000
# Energy relative to the elements, uncorrected (eV/atom): -1.0909



No. 3
# SrIn3Se PBE-GGA relaxed
data_SrIn3Se
_chemical_formula_sum 'Sr1 In3 Se1'
_cell_length_a 6.1498
_cell_length_b 6.1498
_cell_length_c 6.1498
_cell_angle_alpha 90.00
_cell_angle_beta 90.00
_cell_angle_gamma 90.00
_space_group_name_H-M_alt 'P m -3 m'
_space_group_IT_number 221
_space_group_name_Hall '-P 4 2 3'
loop_
_atom_site_label
_atom_site_type_symbol
_atom_site_fract_x
_atom_site_fract_y
_atom_site_fract_z
_atom_site_occupancy
Sr1 Sr 0.0000 0.0000 0.0000 1
In1 In 0.0000 0.0000 0.5000 1
Se1 Se 0.5000 0.5000 0.5000 1
# Fermi-level density of states (states/eV/f.u.): 3.392
# Energy relative to the lowest polymorph listed for this composition (eV/atom): 0.747
# Energy relative to the elements, uncorrected (eV/atom): 0.7454



No. 4
# Pa2NbPd PBE-GGA relaxed
data_Pa2NbPd
_chemical_formula_sum 'Pa6 Nb3 Pd3'
_cell_length_a 3.0584
_cell_length_b 3.0584
_cell_length_c 31.9301
_cell_angle_alpha 90.00
_cell_angle_beta 90.00
_cell_angle_gamma 120.00
_space_group_name_H-M_alt 'R -3 m'
_space_group_IT_number 166
_space_group_name_Hall '-R 3 2"'
loop_
_atom_site_label
_atom_site_type_symbol
_atom_site_fract_x
_atom_site_fract_y
_atom_site_fract_z
_atom_site_occupancy
Pa1 Pa 0.0000 0.0000 0.0879 1
Nb1 Nb 0.0000 0.0000 0.0000 1
Pd1 Pd 0.0000 0.0000 0.5000 1
# Fermi-level density of states (states/eV/f.u.): 5.722
# DFT formation energy (meV per atom): 169
# Energy relative to the lowest polymorph listed for this composition (eV/atom): 0.214



No. 5
# Ba2YSn3O8 PBE-GGA relaxed
data_Ba2YSn3O8
_chemical_formula_sum 'Ba2 Y1 Sn3 O8'
_cell_length_a 4.3026
_cell_length_b 4.3026
_cell_length_c 11.7370
_cell_angle_alpha 90.00
_cell_angle_beta 90.00
_cell_angle_gamma 90.00
_space_group_name_H-M_alt 'P 4/m m m'
_space_group_IT_number 123
_space_group_name_Hall '-P 4 2'
loop_
_atom_site_label
_atom_site_type_symbol
_atom_site_fract_x
_atom_site_fract_y
_atom_site_fract_z
_atom_site_occupancy
Ba1 Ba 0.0000 0.0000 0.1693 1
Y1 Y 0.0000 0.0000 0.5000 1
Sn1 Sn 0.5000 0.5000 0.0000 1
Sn2 Sn 0.5000 0.5000 0.3654 1
O1 O 0.0000 0.5000 0.0000 1
O2 O 0.0000 0.5000 0.3745 1
O3 O 0.5000 0.5000 0.1863 1
# Fermi-level density of states (states/eV/f.u.): 1.163
# Energy relative to the elements, uncorrected (eV/atom): -2.0836



No. 6
# AcUS2O PBE-GGA relaxed
data_AcUS2O
_chemical_formula_sum 'Ac2 U2 S4 O2'
_cell_length_a 4.0378
_cell_length_b 4.0378
_cell_length_c 13.9783
_cell_angle_alpha 90.00
_cell_angle_beta 90.00
_cell_angle_gamma 90.00
_space_group_name_H-M_alt 'P 4/n m m'
_space_group_IT_number 129
loop_
_space_group_symop_operation_xyz
'x,y,z'
'-x,-y,-z'
'-y+1/2,x,z'
'y+1/2,-x,-z'
'-x+1/2,-y+1/2,z'
'x+1/2,y+1/2,-z'
'y,-x+1/2,z'
'-y,x+1/2,-z'
'x+1/2,-y,-z'
'-x+1/2,y,z'
'-y,-x,-z'
'y,x,z'
'-x,y+1/2,-z'
'x,-y+1/2,z'
'y+1/2,x+1/2,-z'
'-y+1/2,-x+1/2,z'
loop_
_atom_site_label
_atom_site_type_symbol
_atom_site_fract_x
_atom_site_fract_y
_atom_site_fract_z
_atom_site_occupancy
Ac1 Ac 0.2500 0.2500 0.0979 1
U1 U 0.2500 0.2500 0.6047 1
S1 S 0.2500 0.2500 0.4043 1
S2 S 0.2500 0.2500 0.7878 1
O1 O 0.2500 0.7500 0.0000 1
# Fermi-level density of states (states/eV/f.u.): 4.696
# Energy relative to the elements, uncorrected (eV/atom): -2.2120



No. 7
# Sr2Bi2Au15 PBE-GGA relaxed
data_Sr2Bi2Au15
_chemical_formula_sum 'Sr6 Bi6 Au45'
_cell_length_a 10.0496
_cell_length_b 10.0496
_cell_length_c 14.1400
_cell_angle_alpha 90.00
_cell_angle_beta 90.00
_cell_angle_gamma 120.00
_space_group_name_H-M_alt 'R -3 m'
_space_group_IT_number 166
_space_group_name_Hall '-R 3 2"'
loop_
_atom_site_label
_atom_site_type_symbol
_atom_site_fract_x
_atom_site_fract_y
_atom_site_fract_z
_atom_site_occupancy
Sr1 Sr 0.0000 0.0000 0.1462 1
Bi1 Bi 0.0000 0.0000 0.3943 1
Au1 Au 0.0000 0.3291 0.5000 1
Au2 Au 0.0000 0.5000 0.0000 1
Au3 Au 0.0105 0.5052 0.6632 1
# Fermi-level density of states (states/eV/f.u.): 8.732
# DFT formation energy (meV per atom): -268



No. 8
# Li3PrBi2 PBE-GGA relaxed
data_Li3PrBi2
_chemical_formula_sum 'Li3 Pr1 Bi2'
_cell_length_a 4.7255
_cell_length_b 4.7255
_cell_length_c 7.5048
_cell_angle_alpha 90.00
_cell_angle_beta 90.00
_cell_angle_gamma 120.00
_space_group_name_H-M_alt 'P -3 m 1'
_space_group_IT_number 164
_space_group_name_Hall '-P 3 2"'
loop_
_atom_site_label
_atom_site_type_symbol
_atom_site_fract_x
_atom_site_fract_y
_atom_site_fract_z
_atom_site_occupancy
Li1 Li 0.0000 0.0000 0.0000 1
Li2 Li 0.3333 0.6667 0.8510 1
Pr1 Pr 0.0000 0.0000 0.5000 1
Bi1 Bi 0.3333 0.6667 0.2446 1
# Fermi-level density of states (states/eV/f.u.): 0.627
# DFT formation energy (meV per atom): -695
# Energy relative to the lowest polymorph listed for this composition (eV/atom): 0.000



No. 9
# ThTcF PBE-GGA relaxed
data_ThTcF
_chemical_formula_sum 'Th6 Tc6 F6'
_cell_length_a 4.1640
_cell_length_b 4.1640
_cell_length_c 23.8089
_cell_angle_alpha 90.00
_cell_angle_beta 90.00
_cell_angle_gamma 120.00
_space_group_name_H-M_alt 'R -3 m'
_space_group_IT_number 166
_space_group_name_Hall '-R 3 2"'
loop_
_atom_site_label
_atom_site_type_symbol
_atom_site_fract_x
_atom_site_fract_y
_atom_site_fract_z
_atom_site_occupancy
Th1 Th 0.0000 0.0000 0.0865 1
Tc1 Tc 0.0000 0.0000 0.3474 1
F1 F 0.0000 0.0000 0.1921 1
# Fermi-level density of states (states/eV/f.u.): 2.728
# Energy relative to the elements, uncorrected (eV/atom): -1.6813



No. 10
# Cs3RbSb6 PBE-GGA relaxed
data_Cs3RbSb6
_chemical_formula_sum 'Cs18 Rb6 Sb36'
_cell_length_a 14.2084
_cell_length_b 14.2084
_cell_length_c 15.1287
_cell_angle_alpha 90.00
_cell_angle_beta 90.00
_cell_angle_gamma 120.00
_space_group_name_H-M_alt 'R -3 c'
_space_group_IT_number 167
_space_group_name_Hall '-R 3 2"c'
loop_
_atom_site_label
_atom_site_type_symbol
_atom_site_fract_x
_atom_site_fract_y
_atom_site_fract_z
_atom_site_occupancy
Cs1 Cs 0.0000 0.4642 0.2500 1
Rb1 Rb 0.0000 0.0000 0.0000 1
Sb1 Sb 0.0998 0.2216 0.3146 1
# Fermi-level density of states (states/eV/f.u.): 6.820
# Energy relative to the elements, uncorrected (eV/atom): -0.2241



No. 11
# TaWCl2 PBE-GGA relaxed
data_TaWCl2
_chemical_formula_sum 'Ta1 W1 Cl2'
_cell_length_a 3.3894
_cell_length_b 2.9498
_cell_length_c 9.1913
_cell_angle_alpha 90.00
_cell_angle_beta 91.06
_cell_angle_gamma 90.00
_space_group_name_H-M_alt 'P 1 m 1'
_space_group_IT_number 6
loop_
_space_group_symop_operation_xyz
'x,y,z'
'x,-y,z'
loop_
_atom_site_label
_atom_site_type_symbol
_atom_site_fract_x
_atom_site_fract_y
_atom_site_fract_z
_atom_site_occupancy
Ta1 Ta 0.0000 0.0000 0.0000 1
W1 W 0.5093 0.5000 0.1857 1
Cl1 Cl 0.5202 0.0000 0.3941 1
Cl2 Cl 0.9895 0.5000 0.7853 1
# Fermi-level density of states (states/eV/f.u.): 1.910
# Energy relative to the lowest polymorph listed for this composition (eV/atom): 0.000
# Energy relative to the elements, uncorrected (eV/atom): -0.4169



No. 12
# Sm2Ti2GaRh5 PBE-GGA relaxed
data_Sm2Ti2GaRh5
_chemical_formula_sum 'Sm4 Ti4 Ga2 Rh10'
_cell_length_a 10.6110
_cell_length_b 10.6110
_cell_length_c 3.1315
_cell_angle_alpha 90.00
_cell_angle_beta 90.00
_cell_angle_gamma 90.00
_space_group_name_H-M_alt 'P 4/m b m'
_space_group_IT_number 127
_space_group_name_Hall '-P 4 2ab'
loop_
_atom_site_label
_atom_site_type_symbol
_atom_site_fract_x
_atom_site_fract_y
_atom_site_fract_z
_atom_site_occupancy
Sm1 Sm 0.1744 0.3256 0.0000 1
Ti1 Ti 0.1336 0.6336 0.0000 1
Ga1 Ga 0.0000 0.0000 0.0000 1
Rh1 Rh 0.0000 0.5000 0.5000 1
Rh2 Rh 0.0510 0.8046 0.5000 1
# Fermi-level density of states (states/eV/f.u.): 5.995
# DFT formation energy (meV per atom): -588



- Fermi-level density of states of number 12 (Sm2Ti2GaRh5)?
  5.995 states/eV/f.u.



- The lowest Fermi-level density of states belongs to which entry?
  K2GaI3



- Among the records above, which one has the highest Fermi-level density of states?
  Sr2Bi2Au15



- Which of these has the lowest Fermi-level density of states?
  K2GaI3